# BaCa2CdNi, relaxed, DFT GGA-PBE
# Relative energy among the computed polymorphs   0.000 eV/atom
# Energy of formation   -80 meV/atom
# Size of the total moment   0.00 μB per formula unit
# DOS(E_F)   1.042 states/eV/atom
data_BaCa2CdNi
_chemical_formula_sum 'Ba1 Ca2 Cd1 Ni1'
_cell_length_a 5.4614
_cell_length_b 5.4614
_cell_length_c 5.3351
_cell_angle_alpha 90.00
_cell_angle_beta 90.00
_cell_angle_gamma 90.00
_space_group_name_H-M_alt 'P 1'
_space_group_IT_number 1
loop_
_space_group_symop_operation_xyz
'x,y,z'
loop_
_atom_site_label
_atom_site_fract_x
_atom_site_fract_y
_atom_site_fract_z
_atom_site_occupancy
Ba1 0.0000 0.0000 0.0000 1
Ca1 0.0000 0.5000 0.5000 1
Ca2 0.5000 0.0000 0.5000 1
Cd1 0.5000 0.5000 0.0000 1
Ni1 0.5000 0.5000 0.5000 1